A plane-wave DFT calculation with GGA-PBE was carried out for a geometry-optimized Pr4SmRu2 structure.

Cell and atoms, written as POSCAR:
```
Pr4SmRu2
1.0
8.019 0.000 0.000
0.000 6.695 0.000
-3.099 0.000 7.453
Pr Sm Ru
8 2 4
Cartesian
-0.988 1.674 2.803 Pr
0.915 5.021 2.380 Pr
0.960 0.022 5.653 Pr
0.960 3.326 5.653 Pr
3.960 3.369 1.800 Pr
3.960 6.673 1.800 Pr
4.005 1.674 5.074 Pr
5.908 5.021 4.651 Pr
1.202 1.674 0.233 Sm
3.718 5.021 7.220 Sm
-1.025 5.021 7.341 Ru
1.717 1.674 3.021 Ru
3.203 5.021 4.433 Ru
5.945 1.674 0.113 Ru
```

Results
Space-group type   P2_1/m



A plane-wave DFT calculation with GGA-PBE was carried out for a geometry-optimized PrSm2Ru structure.

Cell and atoms, written as POSCAR:
```
PrSm2Ru
1.0
7.413 0.000 0.000
0.000 9.633 0.000
0.000 0.000 6.485
Pr Sm Ru
4 8 4
Cartesian
0.306 2.408 0.916 Pr
3.400 7.225 4.159 Pr
4.013 2.408 2.327 Pr
7.107 7.225 5.569 Pr
1.306 0.652 4.342 Sm
1.306 4.165 4.342 Sm
2.400 5.468 1.099 Sm
2.400 8.981 1.099 Sm
5.013 0.652 5.386 Sm
5.013 4.165 5.386 Sm
6.107 5.468 2.143 Sm
6.107 8.981 2.143 Sm
0.845 7.225 2.873 Ru
2.861 2.408 6.116 Ru
4.552 7.225 0.369 Ru
6.568 2.408 3.612 Ru
```

Results
Energy relative to the lowest polymorph listed for this composition   0 meV/atom
Space-group type   Pnma



A plane-wave DFT calculation with GGA-PBE was carried out for a geometry-optimized Pr3Sm5Ru2 structure.

Cell and atoms, written as POSCAR:
```
Pr3Sm5Ru2
1.0
-6.210 7.191 3.489
6.210 -7.191 3.489
6.210 7.191 -3.489
Pr Sm Ru
6 10 4
Cartesian
2.997 2.558 0.000 Pr
0.000 0.000 1.744 Pr
2.997 -2.558 3.489 Pr
3.212 9.749 0.000 Pr
0.000 0.000 5.233 Pr
3.212 4.633 3.489 Pr
6.210 -3.289 1.744 Sm
8.876 0.943 0.000 Sm
6.210 0.000 1.744 Sm
2.667 6.248 0.000 Sm
6.210 3.289 1.744 Sm
0.000 3.902 1.744 Sm
3.543 0.943 3.489 Sm
0.000 7.191 1.744 Sm
-2.667 6.248 3.489 Sm
0.000 10.480 1.744 Sm
4.866 -4.908 3.489 Ru
4.866 4.908 0.000 Ru
1.343 2.282 3.489 Ru
1.343 12.099 0.000 Ru
```

Results
Space-group type   Ibam



A plane-wave DFT calculation with GGA-PBE was carried out for a geometry-optimized PrSm2Ru structure.

Cell and atoms, written as POSCAR:
```
PrSm2Ru
1.0
1.871 1.080 10.645
-1.871 1.080 10.645
0.000 -2.161 10.645
Pr Sm Ru
1 2 1
Cartesian
0.000 0.000 0.000 Pr
0.000 0.000 3.584 Sm
0.000 0.000 28.351 Sm
0.000 0.000 15.968 Ru
```

Results
Energy relative to the lowest polymorph listed for this composition   356 meV/atom
Space-group type   R-3m



A plane-wave DFT calculation with GGA-PBE was carried out for a geometry-optimized Pr3SmRu structure.

Cell and atoms, written as POSCAR:
```
Pr3SmRu
1.0
5.580 0.000 0.000
0.000 5.580 0.000
0.000 0.000 5.580
Pr Sm Ru
3 1 1
Cartesian
0.000 0.000 2.790 Pr
0.000 2.790 0.000 Pr
2.790 0.000 0.000 Pr
2.790 2.790 2.790 Sm
0.000 0.000 0.000 Ru
```

Results
Energy relative to the lowest polymorph listed for this composition   199 meV/atom
Space-group type   Pm-3m



A plane-wave DFT calculation with GGA-PBE was carried out for a geometry-optimized Pr2SmU2Ru5 structure.

Cell and atoms, written as POSCAR:
```
Pr2SmU2Ru5
1.0
10.963 0.000 0.000
0.000 10.963 0.000
0.000 0.000 3.567
Pr Sm U Ru
4 2 4 10
Cartesian
1.934 3.547 0.000 Pr
3.547 9.029 0.000 Pr
7.415 1.934 0.000 Pr
9.029 7.415 0.000 Pr
0.000 0.000 0.000 Sm
5.481 5.481 0.000 Sm
1.468 6.950 0.000 U
4.013 1.468 0.000 U
6.950 9.494 0.000 U
9.494 4.013 0.000 U
0.000 5.481 1.783 Ru
0.534 8.544 1.783 Ru
2.419 0.534 1.783 Ru
3.063 6.015 1.783 Ru
4.948 3.063 1.783 Ru
5.481 0.000 1.783 Ru
6.015 7.900 1.783 Ru
7.900 4.948 1.783 Ru
8.544 10.429 1.783 Ru
10.429 2.419 1.783 Ru
```

Results
Space-group type   P4/mbm



A plane-wave DFT calculation with GGA-PBE was carried out for a geometry-optimized Pr8SnRu2 structure.

Cell and atoms, written as POSCAR:
```
Pr8SnRu2
1.0
4.492 -6.898 0.000
4.492 6.898 0.000
-1.383 0.000 5.485
Pr Sn Ru
8 1 2
Cartesian
1.008 1.744 3.067 Pr
4.492 3.474 0.000 Pr
1.008 -1.744 3.067 Pr
3.236 0.000 1.087 Pr
4.364 0.000 4.398 Pr
6.592 1.744 2.419 Pr
4.492 -3.474 0.000 Pr
6.592 -1.744 2.419 Pr
0.000 0.000 0.000 Sn
3.800 2.755 2.743 Ru
3.800 -2.755 2.743 Ru
```

Results
Space-group type   C2/m



A plane-wave DFT calculation with GGA-PBE was carried out for a geometry-optimized Pr2SnRu2 structure.

Cell and atoms, written as POSCAR:
```
Pr2SnRu2
1.0
5.120 -2.894 0.000
5.120 2.894 0.000
-2.121 0.000 7.954
Pr Sn Ru
4 2 4
Cartesian
1.832 2.010 6.792 Pr
5.227 2.010 5.139 Pr
2.893 -2.010 2.815 Pr
6.288 -2.010 1.162 Pr
4.590 0.759 1.989 Sn
3.530 -0.759 5.966 Sn
2.582 0.892 3.912 Ru
6.598 0.892 0.065 Ru
1.522 -0.892 7.889 Ru
5.538 -0.892 4.042 Ru
```

Results
Space-group type   C2/c



no.,ΔH_f (0 K) (meV/atom),energy (eV per atom),ρ (Mg/m³)
1,-82,-6.137,7.604
2,-212,-6.085,7.784
3,12,-5.637,7.337
4,144,-5.729,6.980
5,59,-5.607,6.443
6,-191,-8.514,10.952
7,-183,-5.710,7.074
8,-401,-6.823,8.492